Density functional theory data (PBE) for a geometry-optimized Rb2LiCr structure.

## Properties
The calculation puts the size of the total moment at 1.258 μB per atom. The calculation puts the energy relative to the lowest polymorph listed for this composition at 0 meV/atom. For the formation energy, the calculation gives 758 meV per atom.

```
Rb2LiCr
1.0
0.0000 4.5426 4.5426
4.5426 0.0000 4.5426
4.5426 4.5426 0.0000
Rb Li Cr
2 1 1
Direct
0.2500 0.2500 0.2500
0.7500 0.7500 0.7500
0.0000 0.0000 0.0000
0.5000 0.5000 0.5000
```